Compound: La4Co3ReO12
Source: Alexandria via LeMat-Bulk
Functional: PBE with a Hubbard U
Structure: optimized geometry

Geometry as POSCAR:
```
La4Co3ReO12
1.0
5.4745 0.0000 0.0000
0.0000 5.4745 0.0000
0.0000 0.0000 8.0987
La Co Re O
4 3 1 12
Direct
0.0000 0.5000 0.2218
0.0000 0.5000 0.7782
0.5000 0.0000 0.2218
0.5000 0.0000 0.7782
0.0000 0.0000 0.0000
0.0000 0.0000 0.5000
0.5000 0.5000 0.0000
0.5000 0.5000 0.5000
0.0000 0.0000 0.2388
0.0000 0.0000 0.7612
0.2491 0.2491 0.0000
0.2491 0.7509 0.0000
0.2546 0.2546 0.5000
0.2546 0.7454 0.5000
0.5000 0.5000 0.2553
0.5000 0.5000 0.7447
0.7454 0.2546 0.5000
0.7454 0.7454 0.5000
0.7509 0.2491 0.0000
0.7509 0.7509 0.0000
```

Properties
Magnetic moment (Bohr magnetons per cell): 3.02
DOS(E_F) (states/eV/f.u.): 2.87
Total energy (eV per atom): -7.561